Entry 1:
VASP calculation (PBE) on GdDyCSe after structural relaxation. Values from VASP.

The structure in Quantum ESPRESSO input format:
```
&SYSTEM
  ibrav = 0, nat = 8, ntyp = 4
/
ATOMIC_SPECIES
Gd 157.25 Gd.upf
Dy 162.50 Dy.upf
C 12.01 C.upf
Se 78.96 Se.upf
CELL_PARAMETERS angstrom
3.783 0.000 0.000
-1.892 3.276 0.000
0.000 0.000 13.373
ATOMIC_POSITIONS angstrom
Gd 0.000 0.000 2.014
Gd 0.000 0.000 11.359
Dy 0.000 2.184 4.704
Dy 0.000 2.184 8.669
C 1.892 1.092 3.376
C 1.892 1.092 9.997
Se 0.000 0.000 6.687
Se 0.000 2.184 0.000
```

Output
Symmetry: P-6m2 (187)
Total magnetic moment in Bohr magnetons per cell: 0.0

***

Entry 2:
VASP calculation (PBE) on Y3Tm4Fe2Te2 after structural relaxation. Values from VASP.

The structure in Quantum ESPRESSO input format:
```
&SYSTEM
  ibrav = 0, nat = 11, ntyp = 4
/
ATOMIC_SPECIES
Y 88.91 Y.upf
Tm 168.93 Tm.upf
Fe 55.84 Fe.upf
Te 127.60 Te.upf
CELL_PARAMETERS angstrom
-1.937 7.831 4.611
1.937 -7.831 4.611
1.937 7.831 -4.611
ATOMIC_POSITIONS angstrom
Y 0.000 0.000 0.000
Y 0.000 5.471 2.409
Y 0.000 10.190 2.409
Tm 1.937 5.687 -0.788
Tm 1.937 2.932 1.144
Tm 0.000 2.143 3.823
Tm 0.000 4.899 5.755
Fe 1.937 -4.094 3.986
Fe 1.937 4.094 3.986
Te 1.937 0.000 2.451
Te 0.000 0.000 6.093
```

Output
Symmetry: Imm2 (44)
Total magnetic moment in Bohr magnetons per cell: 0.7

***

Entry 3:
VASP calculation (PBE) on YNb2Si2P after structural relaxation. Values from VASP.

The structure in Quantum ESPRESSO input format:
```
&SYSTEM
  ibrav = 0, nat = 6, ntyp = 4
/
ATOMIC_SPECIES
Y 88.91 Y.upf
Nb 92.91 Nb.upf
Si 28.09 Si.upf
P 30.97 P.upf
CELL_PARAMETERS angstrom
3.914 0.000 0.000
0.000 3.914 0.000
0.000 0.000 7.859
ATOMIC_POSITIONS angstrom
Y 0.000 0.000 0.000
Nb 0.000 1.957 5.009
Nb 1.957 0.000 5.009
Si 0.000 0.000 2.997
Si 1.957 1.957 6.893
P 1.957 1.957 3.045
```

Output
Symmetry: P4mm (99)
Total magnetic moment in Bohr magnetons per cell: 0.0

***

| no. | total energy (eV/cell) |
| --- | --- |
| 1 | -52.956 |
| 2 | -65.725 |
| 3 | -44.844 |